Si2AgGeN | meta-GGA SCAN | PBEsol geometry

The calculation puts the density of states at the Fermi level at 2.27 states/eV/cell. The calculation puts the energy at -14.373 eV per atom.

The space group is P4/mmm (No. 123) and the conventional cell measures 4.985, 4.985 and 3.722 Å, with angles of 90.00, 90.00 and 90.00 degrees. The inequivalent atoms are Si at (0.000, 0.500, 0.000), Ag at (0.000, 0.000, 0.000), Ge at (0.500, 0.500, 0.500) and N at (0.000, 0.000, 0.500).